Record 1
# DyTmZn2Si2

Crystalline DyTmZn2Si2 at its relaxed geometry (PBE-GGA, the Open Quantum Materials Database).

Values from the calculation:
E_tot: -4.363 eV/atom
Total magnetic moment: 0.00 μB/f.u.
Energy above the lowest structure with this stoichiometry: 0.000 eV per atom
SG: P6_3/mmc (194)

```
DyTmZn2Si2
1.0
4.1272 0.0000 0.0000
-2.0636 3.5742 0.0000
0.0000 0.0000 15.5569
Dy Tm Zn Si
2 2 4 4
Direct
0.0000 0.0000 0.0000
0.0000 0.0000 0.5000
0.0000 0.0000 0.2500
0.0000 0.0000 0.7500
0.3333 0.6667 0.1383
0.3333 0.6667 0.3617
0.6667 0.3333 0.6383
0.6667 0.3333 0.8617
0.3333 0.6667 0.6200
0.3333 0.6667 0.8800
0.6667 0.3333 0.1200
0.6667 0.3333 0.3800
```



Record 2
# OsN4

Crystalline OsN4 at its relaxed geometry (PBE-GGA, the Open Quantum Materials Database).

Values from the calculation:
E_tot: -6.719 eV/atom
Total magnetic moment: 3.98 μB/f.u.
SG: C2/c (15)

```
OsN4
1.0
4.4850 -2.1274 0.0000
4.4850 2.1274 0.0000
-3.6769 0.0000 7.2927
Os N
2 8
Direct
0.2403 0.7597 0.7500
0.7597 0.2403 0.2500
0.1251 0.1358 0.9409
0.1358 0.1251 0.4409
0.3588 0.3866 0.8151
0.3866 0.3588 0.3151
0.6134 0.6412 0.6849
0.6412 0.6134 0.1849
0.8642 0.8749 0.5591
0.8749 0.8642 0.0591
```